Entry from the Alexandria database: a relaxed structure of Ac6Ga3Co (GGA-PBE).

Cell and atoms, written as extended XYZ:
```
20
Lattice="9.057 -0.617 -0.630 -0.813 9.041 -0.630 -0.813 -0.831 9.025" Properties=species:S:1:pos:R:3 pbc="T T T"
Ac 1.989 8.605 -0.262
Ac -1.129 7.904 5.595
Ac 4.158 6.587 3.070
Ac 7.927 5.615 -0.833
Ac 2.832 4.220 6.654
Ac 0.935 4.620 3.397
Ac 6.495 2.974 4.367
Ac 4.598 3.373 1.111
Ac -0.496 1.979 8.597
Ac 3.273 1.007 4.694
Ac 8.560 -0.310 2.169
Ac 5.442 -1.011 8.026
Ga 1.970 7.120 5.565
Ga 7.076 5.516 2.247
Ga 2.069 5.507 0.523
Ga 5.361 2.087 7.242
Ga 0.355 2.078 5.517
Ga 5.461 0.474 2.199
Co 0.000 0.000 0.000
Co 3.715 3.797 3.882
```

Properties
* E_form: -0.143 eV per atom
* SG: R-3, No. 148



Entry from the Alexandria database: a relaxed structure of AcGa9Co2 (GGA-PBE).

Cell and atoms, written as extended XYZ:
```
12
Lattice="3.938 0.000 0.000 0.000 7.908 0.000 0.000 -3.954 6.849" Properties=species:S:1:pos:R:3 pbc="T T T"
Ac 0.000 0.000 0.000
Ga 1.969 5.425 1.433
Ga 0.000 -1.977 3.424
Ga 0.000 1.977 3.424
Ga 1.969 3.954 3.982
Ga 1.969 -1.471 5.415
Ga 1.969 1.471 5.415
Ga 1.969 0.000 2.867
Ga 0.000 3.954 0.000
Ga 1.969 2.483 1.433
Co 0.000 3.954 2.283
Co 0.000 0.000 4.566
```

Properties
* E above lowest polymorph: 0 meV/atom
* E_form: -0.340 eV per atom
* SG: P6/mmm, No. 191



Entry from the Alexandria database: a relaxed structure of Ac6Ga2Co (GGA-PBE).

Cell and atoms, written as extended XYZ:
```
18
Lattice="7.301 0.000 0.235 0.000 8.252 0.000 -0.560 0.000 10.680" Properties=species:S:1:pos:R:3 pbc="T T T"
Ac 6.281 7.987 2.864
Ac 5.789 5.645 6.113
Ac 5.455 5.592 10.273
Ac 4.657 1.466 6.101
Ac 4.323 1.519 10.260
Ac 4.392 3.861 2.829
Ac 0.461 0.265 8.052
Ac 0.953 2.607 4.803
Ac 1.287 2.659 0.643
Ac 2.084 6.785 4.815
Ac 2.418 6.733 0.655
Ac 2.350 4.391 8.086
Ga 6.566 3.287 8.271
Ga 3.546 7.413 8.102
Ga 3.195 0.839 2.813
Ga 0.175 4.964 2.644
Co 3.651 4.126 0.118
Co -0.280 0.000 5.340
```

Properties
* E_form: -0.199 eV per atom
* SG: P2_1/c, No. 14



Entry from the Alexandria database: a relaxed structure of Ac12Ga3Co5 (GGA-PBE).

Cell and atoms, written as extended XYZ:
```
80
Lattice="-7.199 -0.943 -13.504 -9.572 -4.241 11.201 4.554 14.448 2.366" Properties=species:S:1:pos:R:3 pbc="T T T"
Ga -8.419 -0.491 -5.632
Ga -12.909 -2.200 -3.119
Ga -7.032 5.496 4.816
Ga -1.288 4.652 -1.089
Ga -6.357 2.257 -9.824
Ga -7.543 0.608 2.528
Ga -4.673 8.656 -2.465
Ga -5.860 7.007 9.888
Ga -10.928 4.612 1.152
Ga -5.185 3.768 -4.752
Ga 0.692 11.464 3.183
Ga -3.797 9.755 5.695
Co -3.351 1.904 3.104
Co -4.786 -2.121 5.601
Co 0.000 0.000 0.000
Co -4.523 0.392 -1.968
Co -1.323 6.753 -5.569
Co -8.385 -2.592 -1.151
Co -6.371 2.119 7.600
Co -2.611 11.405 -6.657
Co -9.674 2.060 -2.240
Co -0.481 9.952 -1.889
Co -11.736 -0.688 1.953
Co -6.108 4.632 0.032
Co -3.600 -0.471 -6.752
Co 2.277 7.224 1.183
Co -2.543 7.204 2.303
Co -9.606 -2.141 6.721
Co -2.509 5.103 6.784
Co -5.846 7.145 -7.537
Co -7.693 8.872 2.031
Co -8.866 7.360 -3.040
Ac -6.139 -0.778 -8.107
Ac -5.523 3.314 2.542
Ac -9.271 1.714 -8.204
Ac -5.228 0.399 -4.523
Ac -7.885 6.258 1.638
Ac -11.871 -0.853 -6.038
Ac -8.006 2.340 5.527
Ac -8.885 -2.196 9.271
Ac -10.488 5.127 4.461
Ac -9.870 -0.560 -2.582
Ac -8.504 2.700 -4.530
Ac -14.449 -4.204 -0.879
Ac -5.249 4.518 7.513
Ac -6.211 -0.856 -0.351
Ac -7.557 1.528 9.896
Ac -1.461 7.677 -2.829
Ac -1.376 2.157 1.355
Ac -9.463 -1.958 1.460
Ac -13.342 -0.428 -0.139
Ac -4.433 -0.513 3.219
Ac -8.405 6.977 7.667
Ac -8.350 2.803 -0.068
Ac -11.972 3.298 -1.780
Ac -4.611 11.120 -4.941
Ac -3.867 6.461 0.131
Ac -0.245 5.966 1.843
Ac -7.606 -1.856 5.005
Ac 1.126 9.692 0.203
Ac -3.812 2.287 -7.604
Ac -7.784 9.777 -3.156
Ac -2.754 11.222 -1.396
Ac -10.755 1.587 2.893
Ac -10.841 7.107 -1.292
Ac -4.660 7.736 -9.832
Ac -6.968 4.745 -7.449
Ac 2.232 13.468 0.942
Ac -6.005 10.120 0.414
Ac -1.728 4.137 -4.398
Ac -2.346 9.824 2.646
Ac -3.713 6.564 4.594
Ac -3.332 11.460 -9.207
Ac -4.210 6.924 -5.463
Ac -6.989 8.865 4.586
Ac -0.346 10.117 6.101
Ac -4.332 3.006 -1.574
Ac -2.946 7.550 8.268
Ac -6.694 5.950 -2.478
Ac -6.078 10.042 8.171
```

Properties
* E_form: 0.024 eV per atom
* SG: Ia-3d, No. 230



Repeat the fourth record exactly.
Entry from the Alexandria database: a relaxed structure of Ac12Ga3Co5 (GGA-PBE).

Cell and atoms, written as extended XYZ:
```
80
Lattice="-7.199 -0.943 -13.504 -9.572 -4.241 11.201 4.554 14.448 2.366" Properties=species:S:1:pos:R:3 pbc="T T T"
Ga -8.419 -0.491 -5.632
Ga -12.909 -2.200 -3.119
Ga -7.032 5.496 4.816
Ga -1.288 4.652 -1.089
Ga -6.357 2.257 -9.824
Ga -7.543 0.608 2.528
Ga -4.673 8.656 -2.465
Ga -5.860 7.007 9.888
Ga -10.928 4.612 1.152
Ga -5.185 3.768 -4.752
Ga 0.692 11.464 3.183
Ga -3.797 9.755 5.695
Co -3.351 1.904 3.104
Co -4.786 -2.121 5.601
Co 0.000 0.000 0.000
Co -4.523 0.392 -1.968
Co -1.323 6.753 -5.569
Co -8.385 -2.592 -1.151
Co -6.371 2.119 7.600
Co -2.611 11.405 -6.657
Co -9.674 2.060 -2.240
Co -0.481 9.952 -1.889
Co -11.736 -0.688 1.953
Co -6.108 4.632 0.032
Co -3.600 -0.471 -6.752
Co 2.277 7.224 1.183
Co -2.543 7.204 2.303
Co -9.606 -2.141 6.721
Co -2.509 5.103 6.784
Co -5.846 7.145 -7.537
Co -7.693 8.872 2.031
Co -8.866 7.360 -3.040
Ac -6.139 -0.778 -8.107
Ac -5.523 3.314 2.542
Ac -9.271 1.714 -8.204
Ac -5.228 0.399 -4.523
Ac -7.885 6.258 1.638
Ac -11.871 -0.853 -6.038
Ac -8.006 2.340 5.527
Ac -8.885 -2.196 9.271
Ac -10.488 5.127 4.461
Ac -9.870 -0.560 -2.582
Ac -8.504 2.700 -4.530
Ac -14.449 -4.204 -0.879
Ac -5.249 4.518 7.513
Ac -6.211 -0.856 -0.351
Ac -7.557 1.528 9.896
Ac -1.461 7.677 -2.829
Ac -1.376 2.157 1.355
Ac -9.463 -1.958 1.460
Ac -13.342 -0.428 -0.139
Ac -4.433 -0.513 3.219
Ac -8.405 6.977 7.667
Ac -8.350 2.803 -0.068
Ac -11.972 3.298 -1.780
Ac -4.611 11.120 -4.941
Ac -3.867 6.461 0.131
Ac -0.245 5.966 1.843
Ac -7.606 -1.856 5.005
Ac 1.126 9.692 0.203
Ac -3.812 2.287 -7.604
Ac -7.784 9.777 -3.156
Ac -2.754 11.222 -1.396
Ac -10.755 1.587 2.893
Ac -10.841 7.107 -1.292
Ac -4.660 7.736 -9.832
Ac -6.968 4.745 -7.449
Ac 2.232 13.468 0.942
Ac -6.005 10.120 0.414
Ac -1.728 4.137 -4.398
Ac -2.346 9.824 2.646
Ac -3.713 6.564 4.594
Ac -3.332 11.460 -9.207
Ac -4.210 6.924 -5.463
Ac -6.989 8.865 4.586
Ac -0.346 10.117 6.101
Ac -4.332 3.006 -1.574
Ac -2.946 7.550 8.268
Ac -6.694 5.950 -2.478
Ac -6.078 10.042 8.171
```

Properties
* E_form: 0.024 eV per atom
* SG: Ia-3d, No. 230